[1]
Entry from Alexandria: ZrIrRh2 after structural relaxation (PBE).

Properties
**DFT formation energy**: -279 meV/atom
**Space group**: No. 216
**Crystal system**: cubic

Unit cell a=4.5135 b=4.5135 c=4.5135 alpha=60.00 beta=60.00 gamma=60.00
Positions (direct):
Zr1 0.0000 0.0000 0.0000
Ir1 0.7500 0.7500 0.7500
Rh1 0.2500 0.2500 0.2500
Rh2 0.5000 0.5000 0.5000



[2]
Entry from Alexandria: Ti6VOs5 after structural relaxation (PBE).

Properties
**DFT formation energy**: -601 meV/atom
**Space group**: No. 71
**Crystal system**: orthorhombic

Unit cell a=7.5834 b=7.5834 c=7.5834 alpha=146.40 beta=131.81 gamma=60.03
Positions (direct):
Ti1 0.0822 0.8328 0.2493
Ti2 0.2495 0.5000 0.7495
Ti3 0.4165 0.1672 0.2493
Ti4 0.5835 0.8328 0.7507
Ti5 0.7505 0.5000 0.2505
Ti6 0.9178 0.1672 0.7507
V1 0.5000 0.0000 0.5000
Os1 0.0000 0.0000 0.0000
Os2 0.1669 0.6669 0.5000
Os3 0.3347 0.3347 0.0000
Os4 0.6653 0.6653 0.0000
Os5 0.8331 0.3331 0.5000



[3]
Entry from Alexandria: ScInPd3 after structural relaxation (PBE).

Properties
**DFT formation energy**: 265 meV/atom
**Space group**: No. 221
**Crystal system**: cubic
**Distance to the lowest polymorph of the same formula**: 0.8854 eV per atom

Unit cell a=4.8912 b=4.8912 c=4.8912 alpha=90.00 beta=90.00 gamma=90.00
Positions (direct):
Sc1 0.0000 0.0000 0.0000
In1 0.5000 0.5000 0.5000
Pd1 0.0000 0.5000 0.5000
Pd2 0.5000 0.0000 0.5000
Pd3 0.5000 0.5000 0.0000



[4]
Entry from Alexandria: LaSnAu after structural relaxation (PBE).

Properties
**DFT formation energy**: -804 meV/atom
**Space group**: No. 2
**Crystal system**: triclinic

Unit cell a=4.7376 b=6.1566 c=6.2903 alpha=86.12 beta=67.88 gamma=67.40
Positions (direct):
La1 0.2384 0.2118 0.3111
La2 0.7616 0.7882 0.6889
Sn1 0.0665 0.7710 0.0977
Sn2 0.9335 0.2290 0.9023
Au1 0.4564 0.3806 0.7048
Au2 0.5436 0.6194 0.2952



[5]
Entry from Alexandria: ScP3F after structural relaxation (PBE).

Properties
**Space group**: No. 221
**Crystal system**: cubic
**Distance to the lowest polymorph of the same formula**: 0.4231 eV per atom

Unit cell a=4.8732 b=4.8732 c=4.8732 alpha=90.00 beta=90.00 gamma=90.00
Positions (direct):
Sc1 0.0000 0.0000 0.0000
P1 0.0000 0.0000 0.5000
P2 0.0000 0.5000 0.0000
P3 0.5000 0.0000 0.0000
F1 0.5000 0.5000 0.5000



[6]
Entry from Alexandria: UNbTcMo after structural relaxation (PBE).

Properties
**DFT formation energy**: 23 meV/atom
**Space group**: No. 216
**Crystal system**: cubic

Unit cell a=4.6519 b=4.6519 c=4.6519 alpha=60.00 beta=60.00 gamma=60.00
Positions (direct):
U1 0.0000 0.0000 0.0000
Nb1 0.5000 0.5000 0.5000
Tc1 0.2500 0.2500 0.2500
Mo1 0.7500 0.7500 0.7500



[7]
Entry from Alexandria: AsRhW3 after structural relaxation (PBE).

Properties
**DFT formation energy**: 2025 meV/atom
**Space group**: No. 221
**Crystal system**: cubic
**Distance to the lowest polymorph of the same formula**: 0.3747 eV per atom

Unit cell a=4.7215 b=4.7215 c=4.7215 alpha=90.00 beta=90.00 gamma=90.00
Positions (direct):
As1 0.0000 0.0000 0.0000
Rh1 0.5000 0.5000 0.5000
W1 0.0000 0.5000 0.5000
W2 0.5000 0.0000 0.5000
W3 0.5000 0.5000 0.0000



[8]
Entry from Alexandria: Li3MnP2 after structural relaxation (PBE).

Properties
**DFT formation energy**: -515 meV/atom
**Space group**: No. 137
**Crystal system**: tetragonal

Unit cell a=4.0767 b=4.0767 c=11.5681 alpha=90.00 beta=90.00 gamma=90.00
Positions (direct):
Li1 0.2500 0.7500 0.0045
Li2 0.2500 0.7500 0.2500
Li3 0.2500 0.7500 0.4955
Li4 0.7500 0.2500 0.5045
Li5 0.7500 0.2500 0.7500
Li6 0.7500 0.2500 0.9955
Mn1 0.2500 0.7500 0.7500
Mn2 0.7500 0.2500 0.2500
P1 0.2500 0.2500 0.1360
P2 0.2500 0.2500 0.6360
P3 0.7500 0.7500 0.3640
P4 0.7500 0.7500 0.8640



Which formula does entry 7 have?
AsRhW3